1.
A plane-wave DFT calculation with PBE was carried out for an optimized crystal structure of AlNiRh2.

Cell: 5.018 5.018 5.018 Å, 147.04 127.24 63.63°
Last column: magnetic moment on the atom in μB.
Positions (direct):
Rh1 0.514 0.514 0.000  0.07
Rh2 0.986 0.986 0.000  0.07
Al1 0.750 0.250 0.500  0.00
Ni1 0.250 0.750 0.500  0.27

Output
**Energy of formation**: -329 meV per atom


2.
A plane-wave DFT calculation with PBE was carried out for an optimized crystal structure of RbNiRh3.

Cell: 4.694 4.694 4.694 Å, 90.00 90.00 90.00°
Last column: magnetic moment on the atom in μB.
Positions (direct):
Rh1 0.000 0.500 0.000  0.85
Rb1 0.500 0.500 0.500  -0.01
Rh2 0.500 0.000 0.000  0.52
Ni1 0.000 0.000 0.000  0.97
Rh3 0.000 0.000 0.500  1.34

Output
**Distance to the lowest polymorph of the same formula**: 0 meV/atom
**Energy of formation**: 1037 meV per atom


Copy entry 2 word for word.
A plane-wave DFT calculation with PBE was carried out for an optimized crystal structure of RbNiRh3.

Cell: 4.694 4.694 4.694 Å, 90.00 90.00 90.00°
Last column: magnetic moment on the atom in μB.
Positions (direct):
Rh1 0.000 0.500 0.000  0.85
Rb1 0.500 0.500 0.500  -0.01
Rh2 0.500 0.000 0.000  0.52
Ni1 0.000 0.000 0.000  0.97
Rh3 0.000 0.000 0.500  1.34

Output
**Distance to the lowest polymorph of the same formula**: 0 meV/atom
**Energy of formation**: 1037 meV per atom


Q: Among the records above, which one has the highest energy of formation?
A: RbNiRh3